P:
The following is a DFT calculation (GGA-PBE) of a relaxed structure of BaLi2Nb.

Geometry as POSCAR:
```
BaLi2Nb
1.0
4.866 0.000 0.000
0.000 4.866 0.000
0.000 0.000 21.488
Ba Li Nb
4 8 4
Cartesian
0.000 0.000 0.000 Ba
0.000 2.433 5.372 Ba
2.433 0.000 16.116 Ba
2.433 2.433 10.744 Ba
0.632 1.217 13.430 Li
1.217 3.065 18.802 Li
1.217 4.235 8.058 Li
1.802 1.217 2.686 Li
3.065 3.650 2.686 Li
3.650 0.632 8.058 Li
3.650 1.802 18.802 Li
4.235 3.650 13.430 Li
0.000 0.000 10.744 Nb
0.000 2.433 16.116 Nb
2.433 0.000 5.372 Nb
2.433 2.433 0.000 Nb
```

---

Q:
The following is a DFT calculation (GGA-PBE) of a relaxed structure of BaLi2Nb.

Geometry as POSCAR:
```
BaLi2Nb
1.0
7.591 0.000 0.000
0.000 7.591 0.000
0.000 0.000 7.591
Ba Li Nb
4 8 4
Cartesian
0.000 0.000 0.000 Ba
0.000 3.796 3.796 Ba
3.796 0.000 3.796 Ba
3.796 3.796 0.000 Ba
1.898 1.898 1.898 Li
1.898 1.898 5.693 Li
1.898 5.693 1.898 Li
1.898 5.693 5.693 Li
5.693 1.898 1.898 Li
5.693 1.898 5.693 Li
5.693 5.693 1.898 Li
5.693 5.693 5.693 Li
0.000 0.000 3.796 Nb
0.000 3.796 0.000 Nb
3.796 0.000 0.000 Nb
3.796 3.796 3.796 Nb
```

---

Q is the most stable structure; the next one sits 168 meV per atom above it.

---

P:
The following is a DFT calculation (GGA-PBE) of a relaxed structure of BaLi3Nb.

Geometry as POSCAR:
```
BaLi3Nb
1.0
5.440 0.000 0.000
0.000 5.440 0.000
0.000 0.000 5.440
Ba Li Nb
1 3 1
Cartesian
0.000 0.000 0.000 Ba
0.000 2.720 2.720 Li
2.720 0.000 2.720 Li
2.720 2.720 0.000 Li
2.720 2.720 2.720 Nb
```

---

Q:
The following is a DFT calculation (GGA-PBE) of a relaxed structure of BaLi3Nb.

Geometry as POSCAR:
```
BaLi3Nb
1.0
4.981 0.000 0.000
0.000 4.981 0.000
0.000 0.000 4.981
Ba Li Nb
1 3 1
Cartesian
0.000 0.000 0.000 Ba
0.000 0.000 2.490 Li
0.000 2.490 0.000 Li
2.490 0.000 0.000 Li
2.490 2.490 2.490 Nb
```

---

P is the most stable structure; the next one sits 697 meV per atom above it.

---

P:
The following is a DFT calculation (GGA-PBE) of a relaxed structure of Ba4LiNb3O12.

Geometry as POSCAR:
```
Ba4LiNb3O12
1.0
-4.168 4.168 4.168
4.168 -4.168 4.168
4.168 4.168 -4.168
Ba Li Nb O
4 1 3 12
Cartesian
2.084 2.084 -2.084 Ba
2.084 -2.084 2.084 Ba
-2.084 2.084 2.084 Ba
2.084 2.084 2.084 Ba
0.000 0.000 0.000 Li
4.168 0.000 0.000 Nb
0.000 4.168 0.000 Nb
0.000 0.000 4.168 Nb
2.228 0.000 0.000 O
6.109 0.000 0.000 O
4.168 2.084 0.000 O
4.168 0.000 2.084 O
0.000 2.228 0.000 O
0.000 0.000 2.228 O
2.084 4.168 0.000 O
2.084 0.000 4.168 O
0.000 6.109 0.000 O
0.000 0.000 6.109 O
0.000 4.168 2.084 O
0.000 2.084 4.168 O
```

---

Q:
The following is a DFT calculation (GGA-PBE) of a relaxed structure of Ba4LiNb3O12.

Geometry as POSCAR:
```
Ba4LiNb3O12
1.0
5.886 0.000 0.000
-2.943 5.097 0.000
0.000 0.000 19.399
Ba Li Nb O
8 2 6 24
Cartesian
0.000 0.000 0.000 Ba
0.000 0.000 9.700 Ba
0.000 3.398 2.774 Ba
0.000 3.398 7.175 Ba
0.000 3.398 14.545 Ba
2.943 1.699 4.845 Ba
2.943 1.699 12.473 Ba
2.943 1.699 16.875 Ba
0.000 0.000 3.199 Li
0.000 0.000 12.899 Li
0.000 0.000 5.959 Nb
0.000 0.000 15.658 Nb
0.000 3.398 10.991 Nb
0.000 3.398 18.212 Nb
2.943 1.699 1.292 Nb
2.943 1.699 8.512 Nb
-1.460 2.556 19.315 O
0.000 1.625 4.958 O
-1.536 4.285 4.958 O
0.000 1.729 17.017 O
-1.446 4.233 17.017 O
0.000 1.763 11.975 O
-1.416 4.216 11.975 O
1.407 0.812 14.657 O
1.497 0.864 7.317 O
1.527 0.881 2.275 O
1.460 2.556 19.315 O
0.000 5.084 19.315 O
2.943 0.014 9.616 O
1.483 2.542 9.616 O
1.416 4.216 11.975 O
1.446 4.233 17.017 O
1.536 4.285 4.958 O
4.359 0.881 2.275 O
2.943 3.335 2.275 O
4.389 0.864 7.317 O
2.943 3.369 7.317 O
4.479 0.812 14.657 O
2.943 3.473 14.657 O
4.402 2.542 9.616 O
```

---

Q is the most stable structure; the next one sits 39 meV per atom above it.

---

P:
The following is a DFT calculation (GGA-PBE) of a relaxed structure of BaLi2Nd.

Geometry as POSCAR:
```
BaLi2Nd
1.0
8.206 0.000 0.000
0.000 8.206 0.000
0.000 0.000 8.206
Ba Li Nd
4 8 4
Cartesian
0.000 0.000 0.000 Ba
0.000 4.103 4.103 Ba
4.103 0.000 4.103 Ba
4.103 4.103 0.000 Ba
2.052 2.052 2.052 Li
2.052 2.052 6.155 Li
2.052 6.155 2.052 Li
2.052 6.155 6.155 Li
6.155 2.052 2.052 Li
6.155 2.052 6.155 Li
6.155 6.155 2.052 Li
6.155 6.155 6.155 Li
0.000 0.000 4.103 Nd
0.000 4.103 0.000 Nd
4.103 0.000 0.000 Nd
4.103 4.103 4.103 Nd
```

---

Q:
The following is a DFT calculation (GGA-PBE) of a relaxed structure of BaLi2Nd.

Geometry as POSCAR:
```
BaLi2Nd
1.0
4.047 0.000 0.000
0.000 4.047 0.000
0.000 0.000 8.372
Ba Li Nd
1 2 1
Cartesian
0.000 0.000 0.000 Ba
2.024 2.024 2.419 Li
2.024 2.024 5.953 Li
0.000 0.000 4.186 Nd
```

---

Q is the most stable structure; the next one sits 52 meV per atom above it.

---

P:
The following is a DFT calculation (GGA-PBE) of a relaxed structure of BaLi2Ni.

Geometry as POSCAR:
```
BaLi2Ni
1.0
7.159 0.000 0.000
0.000 7.159 0.000
0.000 0.000 7.159
Ba Li Ni
4 8 4
Cartesian
0.000 0.000 0.000 Ba
0.000 3.579 3.579 Ba
3.579 0.000 3.579 Ba
3.579 3.579 0.000 Ba
1.790 1.790 1.790 Li
1.790 1.790 5.369 Li
1.790 5.369 1.790 Li
1.790 5.369 5.369 Li
5.369 1.790 1.790 Li
5.369 1.790 5.369 Li
5.369 5.369 1.790 Li
5.369 5.369 5.369 Li
0.000 0.000 3.579 Ni
0.000 3.579 0.000 Ni
3.579 0.000 0.000 Ni
3.579 3.579 3.579 Ni
```

---

Q:
The following is a DFT calculation (GGA-PBE) of a relaxed structure of BaLi2Ni.

Geometry as POSCAR:
```
BaLi2Ni
1.0
5.915 0.000 0.000
0.000 7.666 0.000
0.000 0.000 4.686
Ba Li Ni
2 4 2
Cartesian
0.000 0.000 0.000 Ba
2.957 3.833 0.000 Ba
0.000 2.598 2.343 Li
0.000 5.068 2.343 Li
2.957 1.235 2.343 Li
2.957 6.431 2.343 Li
0.000 3.833 0.000 Ni
2.957 0.000 0.000 Ni
```

---

Q is the most stable structure; the next one sits 127 meV per atom above it.

---

P:
The following is a DFT calculation (GGA-PBE) of a relaxed structure of BaLi2Ni.

Geometry as POSCAR:
```
BaLi2Ni
1.0
4.298 0.000 0.000
0.000 4.298 0.000
0.000 0.000 5.410
Ba Li Ni
1 2 1
Cartesian
0.000 0.000 0.000 Ba
0.000 2.149 2.705 Li
2.149 0.000 2.705 Li
2.149 2.149 0.000 Ni
```

---

Q:
The following is a DFT calculation (GGA-PBE) of a relaxed structure of BaLi2Ni.

Geometry as POSCAR:
```
BaLi2Ni
1.0
5.751 0.000 0.000
0.000 9.348 0.000
0.000 0.000 3.293
Ba Li Ni
2 4 2
Cartesian
0.000 0.000 0.000 Ba
2.876 4.674 0.000 Ba
1.438 2.337 1.646 Li
1.438 7.011 1.646 Li
4.313 2.337 1.646 Li
4.313 7.011 1.646 Li
0.000 4.674 0.000 Ni
2.876 0.000 0.000 Ni
```

---

P is the most stable structure; the next one sits 202 meV per atom above it.

---

P:
The following is a DFT calculation (GGA-PBE) of a relaxed structure of BaLiNi.

Geometry as POSCAR:
```
BaLiNi
1.0
3.631 0.000 0.000
0.000 3.631 0.000
0.000 0.000 10.774
Ba Li Ni
2 2 2
Cartesian
0.000 0.000 0.000 Ba
1.816 1.816 5.387 Ba
0.000 0.000 7.852 Li
1.816 1.816 2.464 Li
0.000 0.000 3.287 Ni
1.816 1.816 8.674 Ni
```

---

Q:
The following is a DFT calculation (GGA-PBE) of a relaxed structure of BaLiNi.

Geometry as POSCAR:
```
BaLiNi
1.0
4.520 0.000 0.000
0.000 17.951 0.000
0.000 0.000 4.604
Ba Li Ni
4 4 4
Cartesian
0.000 2.689 0.000 Ba
0.000 15.261 2.302 Ba
2.260 6.286 2.302 Ba
2.260 11.665 0.000 Ba
0.000 8.306 0.241 Li
0.000 9.645 2.543 Li
2.260 0.669 2.543 Li
2.260 17.281 0.241 Li
0.000 0.173 1.474 Ni
0.000 17.777 3.776 Ni
2.260 8.802 3.776 Ni
2.260 9.148 1.474 Ni
```

---

Q is the most stable structure; the next one sits 210 meV per atom above it.

---

P:
The following is a DFT calculation (GGA-PBE) of a relaxed structure of BaLiNi.

Geometry as POSCAR:
```
BaLiNi
1.0
6.790 0.000 0.000
0.000 6.790 0.000
0.000 0.000 6.790
Ba Li Ni
4 4 4
Cartesian
0.000 0.000 0.000 Ba
0.000 3.395 3.395 Ba
3.395 0.000 3.395 Ba
3.395 3.395 0.000 Ba
1.697 1.697 5.092 Li
1.697 5.092 1.697 Li
5.092 1.697 1.697 Li
5.092 5.092 5.092 Li
0.000 0.000 3.395 Ni
0.000 3.395 0.000 Ni
3.395 0.000 0.000 Ni
3.395 3.395 3.395 Ni
```

---

Q:
The following is a DFT calculation (GGA-PBE) of a relaxed structure of BaLiNi.

Geometry as POSCAR:
```
BaLiNi
1.0
4.815 0.000 0.000
0.000 4.881 0.000
-0.036 0.000 7.238
Ba Li Ni
2 2 2
Cartesian
1.184 0.000 2.072 Ba
3.594 0.000 5.166 Ba
1.188 2.441 5.945 Li
3.591 2.441 1.293 Li
-0.018 2.441 3.619 Ni
2.389 2.441 3.619 Ni
```

---

R:
The following is a DFT calculation (GGA-PBE) of a relaxed structure of BaLiNi.

Geometry as POSCAR:
```
BaLiNi
1.0
4.805 0.000 0.000
-0.576 5.948 0.000
-2.210 -1.671 5.600
Ba Li Ni
2 2 2
Cartesian
0.006 0.668 2.002 Ba
2.013 3.609 3.598 Ba
1.732 4.171 0.271 Li
0.287 0.106 5.330 Li
-0.637 3.561 0.934 Ni
2.655 0.717 4.666 Ni
```

---

S:
The following is a DFT calculation (GGA-PBE) of a relaxed structure of BaLiNi.

Geometry as POSCAR:
```
BaLiNi
1.0
4.252 0.000 0.000
-2.101 6.088 0.000
-2.119 -0.856 6.204
Ba Li Ni
2 2 2
Cartesian
0.000 0.000 0.000 Ba
0.029 1.813 3.620 Ba
-2.102 4.400 3.337 Li
2.148 3.020 0.920 Li
-2.095 2.828 5.781 Ni
0.022 4.367 1.796 Ni
```

---

Q is the most stable structure; the next one sits 36 meV per atom above it.

---

P:
The following is a DFT calculation (GGA-PBE) of a relaxed structure of BaLiNi.

Geometry as POSCAR:
```
BaLiNi
1.0
7.152 0.000 0.000
0.000 7.152 0.000
0.000 0.000 7.152
Ba Li Ni
4 4 4
Cartesian
0.000 0.000 0.000 Ba
0.000 3.576 3.576 Ba
3.576 0.000 3.576 Ba
3.576 3.576 0.000 Ba
1.788 1.788 5.364 Li
1.788 5.364 1.788 Li
5.364 1.788 1.788 Li
5.364 5.364 5.364 Li
1.788 1.788 1.788 Ni
1.788 5.364 5.364 Ni
5.364 1.788 5.364 Ni
5.364 5.364 1.788 Ni
```

---

Q:
The following is a DFT calculation (GGA-PBE) of a relaxed structure of BaLiNi.

Geometry as POSCAR:
```
BaLiNi
1.0
7.054 0.000 0.000
0.000 7.054 0.000
0.000 0.000 7.054
Ba Li Ni
4 4 4
Cartesian
0.000 0.000 0.000 Ba
0.000 3.527 3.527 Ba
3.527 0.000 3.527 Ba
3.527 3.527 0.000 Ba
0.000 0.000 3.527 Li
0.000 3.527 0.000 Li
3.527 0.000 0.000 Li
3.527 3.527 3.527 Li
1.763 1.763 5.290 Ni
1.763 5.290 1.763 Ni
5.290 1.763 1.763 Ni
5.290 5.290 5.290 Ni
```

---

Q is the most stable structure; the next one sits 412 meV per atom above it.

---

P:
The following is a DFT calculation (GGA-PBE) of a relaxed structure of BaLiNi.

Geometry as POSCAR:
```
BaLiNi
1.0
4.469 0.000 0.000
0.000 18.310 0.000
0.000 0.000 4.230
Ba Li Ni
4 4 4
Cartesian
0.000 1.737 1.058 Ba
0.000 16.573 3.173 Ba
2.234 7.418 3.173 Ba
2.234 10.892 1.058 Ba
0.000 5.381 1.058 Li
0.000 12.929 3.173 Li
2.234 3.774 3.173 Li
2.234 14.536 1.058 Li
0.000 8.668 1.058 Ni
0.000 9.642 3.173 Ni
2.234 0.487 3.173 Ni
2.234 17.823 1.058 Ni
```

---

Q:
The following is a DFT calculation (GGA-PBE) of a relaxed structure of BaLiNi.

Geometry as POSCAR:
```
BaLiNi
1.0
4.208 0.000 0.000
0.000 6.423 0.000
0.000 0.000 11.610
Ba Li Ni
4 4 4
Cartesian
0.000 0.000 2.235 Ba
0.000 0.000 9.375 Ba
2.104 3.212 3.570 Ba
2.104 3.212 8.040 Ba
0.000 1.215 5.805 Li
0.000 5.208 5.805 Li
2.104 1.996 0.000 Li
2.104 4.427 0.000 Li
0.000 3.212 1.166 Ni
0.000 3.212 10.444 Ni
2.104 0.000 4.639 Ni
2.104 0.000 6.971 Ni
```

---

P is the most stable structure; the next one sits 9 meV per atom above it.

---

P:
The following is a DFT calculation (GGA-PBE) of a relaxed structure of BaLiNi.

Geometry as POSCAR:
```
BaLiNi
1.0
4.835 0.000 0.000
0.000 4.868 0.000
0.000 0.000 14.229
Ba Li Ni
4 4 4
Cartesian
0.000 1.217 2.015 Ba
0.000 3.651 12.214 Ba
2.418 1.217 5.100 Ba
2.418 3.651 9.129 Ba
0.000 1.217 8.380 Li
0.000 3.651 5.849 Li
2.418 1.217 12.963 Li
2.418 3.651 1.266 Li
1.209 1.217 10.671 Ni
1.209 3.651 3.557 Ni
3.627 1.217 10.671 Ni
3.627 3.651 3.557 Ni
```

---

Q:
The following is a DFT calculation (GGA-PBE) of a relaxed structure of BaLiNi.

Geometry as POSCAR:
```
BaLiNi
1.0
4.468 0.000 0.000
-2.234 3.869 0.000
0.000 0.000 4.548
Ba Li Ni
1 1 1
Cartesian
0.000 0.000 0.000 Ba
2.234 1.290 2.274 Li
0.000 2.580 2.284 Ni
```

---

R:
The following is a DFT calculation (GGA-PBE) of a relaxed structure of BaLiNi.

Geometry as POSCAR:
```
BaLiNi
1.0
14.091 0.000 0.000
0.000 4.205 0.000
-1.067 0.000 5.761
Ba Li Ni
4 4 4
Cartesian
1.475 0.000 1.857 Ba
4.504 2.102 3.904 Ba
8.521 2.102 1.857 Ba
11.549 0.000 3.904 Ba
0.655 2.102 4.734 Li
5.324 0.000 1.027 Li
7.700 0.000 4.734 Li
12.369 2.102 1.027 Li
2.312 0.000 5.266 Ni
3.667 2.102 0.495 Ni
9.357 2.102 5.266 Ni
10.712 0.000 0.495 Ni
```

---

P is the most stable structure; the next one sits 9 meV per atom above it.